Entry a
Material: YEr2Tm8
Method: DFT, PBE-GGA
State: relaxed

Computed properties:
* magnetization: 0.0 μB/cell
* volume: 690 Å³ per cell

Lattice parameters (Å, degrees): 9.0586 16.6561 5.8373 90.00 128.42 90.00
Closest atoms and distances in Å follow each position.
Space group C2/m (No. 12)
Symmetry-distinct sites (fractional):
Y: 0.0000 0.0000 0.0000  4 Tm 3.37-3.58
Er: 0.0000 0.3110 0.5000  12 Tm 3.44-3.75
Tm: 0.0000 0.2021 0.0000  1 Y 3.37, 6 Tm 3.43-3.57, 4 Er 3.44-3.56
Tm: 0.0299 0.5000 0.7694  2 Tm 2.84-3.06
Tm: 0.2259 0.1282 0.7143  6 Tm 3.20-3.57, 2 Er 3.44-3.55

=====

Entry b
Material: YEr2Tm8
Method: DFT, PBE-GGA
State: relaxed

Computed properties:
* magnetization: 0.0 μB/cell
* volume: 680 Å³ per cell

Lattice parameters (Å, degrees): 5.4038 8.0423 15.6397 90.00 90.00 90.00
Closest atoms and distances in Å follow each position.
Space group Immm (No. 71)
Symmetry-distinct sites (fractional):
Y: 0.0000 0.0000 0.0000  8 Tm 3.21-3.60
Er: 0.0000 0.0000 0.2985  10 Tm 3.32-3.56
Tm: 0.0000 0.2051 0.5000  7 Tm 3.30-3.47, 2 Er 3.56, 2 Y 3.60
Tm: 0.0000 0.2932 0.1396  1 Y 3.21, 3 Er 3.32-3.43, 4 Tm 3.33-3.53
Tm: 0.0000 0.5000 0.3389  2 Er 3.45, 8 Tm 3.46-3.60, 2 Y 3.69

=====

Most stable to least stable: entry b, entry a